Entry 1:
Ac8IrRu3Br3 after structural relaxation, computed with PBE.

Values from the calculation:
SG: C2/m, No. 12
DOS at the Fermi energy: 5.60 states/eV/f.u.

Geometry as POSCAR:
```
Ac8IrRu3Br3
1.0
7.511 -4.334 0.000
7.511 4.334 0.000
-5.022 0.000 8.236
Ac Ir Ru Br
8 1 3 3
Cartesian
3.741 2.179 5.695
-0.009 0.000 5.718
6.259 2.179 2.542
2.486 0.000 2.539
7.515 0.000 5.697
3.741 -2.179 5.695
10.010 0.000 2.518
6.259 -2.179 2.542
5.000 0.000 4.118
-2.511 0.000 4.118
1.245 2.167 4.118
1.245 -2.167 4.118
3.756 2.167 0.000
3.756 -2.167 0.000
7.511 0.000 0.000
```

=====

Entry 2:
Ac6IrRu2Br2 after structural relaxation, computed with PBE.

Values from the calculation:
SG: C2/m, No. 12
DOS at the Fermi energy: 3.74 states/eV/f.u.

Geometry as POSCAR:
```
Ac6IrRu2Br2
1.0
3.756 -6.481 0.000
3.756 6.481 0.000
-2.610 0.000 8.258
Ac Ir Ru Br
6 1 2 2
Cartesian
-0.103 2.211 6.660
1.251 0.000 1.560
-0.103 -2.211 6.660
5.007 2.211 1.598
3.652 0.000 6.699
5.007 -2.211 1.598
3.756 0.000 0.000
3.756 4.270 0.000
3.756 -4.270 0.000
2.452 2.153 4.129
2.452 -2.153 4.129
```

=====

Entry 3:
Ac6Ir2RuBr3 after structural relaxation, computed with PBE.

Values from the calculation:
SG: C2/m, No. 12
DOS at the Fermi energy: 3.26 states/eV/f.u.

Geometry as POSCAR:
```
Ac6Ir2RuBr3
1.0
3.754 -6.503 0.000
3.754 6.503 0.000
-2.502 0.000 8.271
Ac Ir Ru Br
6 2 1 3
Cartesian
1.237 2.143 1.604
-0.027 0.000 6.667
1.237 -2.143 1.604
3.770 2.143 6.667
5.034 0.000 1.605
3.770 -2.143 6.667
3.754 2.169 0.000
3.754 -2.169 0.000
0.000 0.000 0.000
2.504 4.362 4.136
2.504 0.000 4.136
2.504 -4.362 4.136
```

=====

Entry 4:
Ac6Ir2RuBr2 after structural relaxation, computed with PBE.

Values from the calculation:
SG: C2/m, No. 12
DOS at the Fermi energy: 5.38 states/eV/f.u.

Geometry as POSCAR:
```
Ac6Ir2RuBr2
1.0
3.772 -6.554 0.000
3.772 6.554 0.000
-2.498 0.000 8.139
Ac Ir Ru Br
6 2 1 2
Cartesian
1.241 2.169 1.580
-0.024 0.000 6.563
1.241 -2.169 1.580
3.804 2.169 6.559
5.069 0.000 1.576
3.804 -2.169 6.559
3.772 2.211 0.000
3.772 -2.211 0.000
0.000 0.000 0.000
2.523 4.395 4.070
2.523 -4.395 4.070
```

=====

Entry 5:
Ac4IrRuBr2 after structural relaxation, computed with PBE.

Values from the calculation:
SG: P2/m, No. 10
DOS at the Fermi energy: 3.37 states/eV/f.u.

Geometry as POSCAR:
```
Ac4IrRuBr2
1.0
7.495 0.000 0.000
0.000 4.335 0.000
-2.511 0.000 8.261
Ac Ir Ru Br
4 1 1 2
Cartesian
1.225 0.000 1.606
-0.037 2.167 6.663
5.022 2.167 1.598
3.760 0.000 6.655
3.748 0.000 0.000
0.000 2.167 0.000
-1.255 0.000 4.130
2.492 2.167 4.130
```

=====

Entry 6:
Ac6Ir2S3Br after structural relaxation, computed with PBE.

Values from the calculation:
SG: C2/m, No. 12
DOS at the Fermi energy: 5.95 states/eV/f.u.

Geometry as POSCAR:
```
Ac6Ir2S3Br
1.0
9.639 -2.148 0.000
9.639 2.148 0.000
-2.275 0.000 8.807
Ac Ir S Br
6 2 3 1
Cartesian
-0.466 0.000 2.431
4.190 0.000 7.843
5.353 0.000 3.775
11.650 0.000 5.033
12.813 0.000 0.964
17.469 0.000 6.377
2.472 0.000 2.918
14.531 0.000 5.889
1.098 0.000 7.401
8.501 0.000 4.404
15.905 0.000 1.406
9.639 0.000 0.000
```

=====

Entry 7:
Ac8Ir3SBr4 after structural relaxation, computed with PBE.

Values from the calculation:
SG: R-3m, No. 166
DOS at the Fermi energy: 7.19 states/eV/f.u.

Geometry as POSCAR:
```
Ac8Ir3SBr4
1.0
4.412 2.547 8.184
-4.412 2.547 8.184
0.000 -5.095 8.184
Ac Ir S Br
8 3 1 4
Cartesian
-2.299 -1.327 13.888
0.000 0.000 5.667
0.000 -2.655 10.665
-2.299 1.327 10.665
2.299 -1.327 13.888
0.000 2.655 13.888
0.000 0.000 18.886
2.299 1.327 10.665
-4.412 0.000 12.276
-2.206 1.274 4.092
2.206 1.274 4.092
0.000 0.000 12.276
0.000 0.000 0.000
-2.206 -1.274 8.184
-2.206 1.274 16.369
0.000 2.547 8.184
```

=====

Entry 8:
Ac4IrS2Br after structural relaxation, computed with PBE.

Values from the calculation:
SG: P2/m, No. 10
DOS at the Fermi energy: 5.80 states/eV/f.u.

Geometry as POSCAR:
```
Ac4IrS2Br
1.0
7.685 0.000 0.000
0.000 4.272 0.000
-2.459 0.000 7.404
Ac Ir S Br
4 1 2 1
Cartesian
1.231 0.000 1.689
0.107 2.136 5.737
5.119 2.136 1.666
3.995 0.000 5.714
3.843 0.000 0.000
-1.230 0.000 3.702
0.000 2.136 0.000
2.613 2.136 3.702
```

=====

Number 1: raw formation energy -11.40 eV per formula unit. Number 2: raw formation energy -8.28 eV per formula unit. Number 3: raw formation energy -12.96 eV per formula unit. Number 4: raw formation energy -9.66 eV per formula unit. Number 5: raw formation energy -8.13 eV per formula unit. Number 6: raw formation energy -17.18 eV per formula unit. Number 7: raw formation energy -20.29 eV per formula unit. Number 8: raw formation energy -11.64 eV per formula unit.